## SrAc4Hg5 (PBE)

Data for SrAc4Hg5 after structural relaxation.

a = 4.0314 Å, b = 4.0314 Å, c = 20.3208 Å
α = 90.00°, β = 90.00°, γ = 90.00°
Sites, in units of the cell vectors:
Sr  0.0000  0.0000  0.0000
Ac  0.0000  0.0000  0.1984
Ac  0.0000  0.0000  0.3989
Ac  0.0000  0.0000  0.6011
Ac  0.0000  0.0000  0.8016
Hg  0.5000  0.5000  0.1007
Hg  0.5000  0.5000  0.3000
Hg  0.5000  0.5000  0.5000
Hg  0.5000  0.5000  0.7000
Hg  0.5000  0.5000  0.8993

For the formation energy, the calculation gives -0.49 eV per atom.